Compound: ReMoOs6
Source: OQMD
Functional: PBE
Structure: relaxed

Lattice parameters (Å, degrees): 5.5246 5.5246 4.3773 90.00 90.00 120.00
Last column: nearest neighbours and their distance in Å.
Positions (direct):
Mo 0.6667 0.3333 0.0000  12 Os 2.71-2.76
Os 0.1666 0.3332 0.0000  8 Os 2.71-2.76, 2 Re 2.71, 2 Mo 2.76
Os 0.1666 0.8334 0.0000  8 Os 2.71-2.76, 2 Re 2.71, 2 Mo 2.76
Os 0.6668 0.8334 0.0000  8 Os 2.71-2.76, 2 Re 2.71, 2 Mo 2.76
Os 0.3327 0.1663 0.5000  8 Os 2.71-2.77, 2 Mo 2.71, 2 Re 2.76
Os 0.8337 0.1663 0.5000  8 Os 2.71-2.77, 2 Mo 2.71, 2 Re 2.76
Os 0.8337 0.6673 0.5000  8 Os 2.71-2.77, 2 Mo 2.71, 2 Re 2.76
Re 0.3333 0.6667 0.5000  12 Os 2.71-2.76

Output
E (Ha/atom): -0.4189
Crystal system: hexagonal
Space-group type: No. 187